Record 1
# GaIr2Pd2

A relaxed GaIr2Pd2 crystal (PBE, Alexandria).

Cell lengths 6.3724, 6.3724, 3.9994 Å; angles 90.00, 90.00, 90.00 degrees
Space group P4/mbm (No. 127)
Asymmetric unit:
Ga 0.0000 0.0000 0.0000
Ir 0.1365 0.3635 0.0000
Pd 0.1651 0.6651 0.5000

ΔE_f	0.474	eV per formula unit
DOS at the Fermi energy	5.6	states/eV/f.u.
density	13.6	Mg/m³
electronic total energy	-6.132	eV per atom
energy above the most stable polymorph in this dataset	0	meV/atom

---

Record 2
# ErHfSn2

A relaxed ErHfSn2 crystal (PBE, Alexandria).

Cell lengths 3.3095, 3.3095, 8.6767 Å; angles 90.00, 90.00, 90.00 degrees
Space group P4/mmm (No. 123)
Asymmetric unit:
Er 0.0000 0.0000 0.0000
Hf 0.0000 0.0000 0.5000
Sn 0.5000 0.5000 0.2607

ΔE_f	-1.564	eV per formula unit
DOS at the Fermi energy	2.9	states/eV/f.u.
density	10.2	Mg/m³
electronic total energy	-6.021	eV per atom
energy above the most stable polymorph in this dataset	0	meV/atom

---

Record 3
# Ba3AcTl2

A relaxed Ba3AcTl2 crystal (PBE, Alexandria).

Cell lengths 5.9062, 10.9868, 7.9577 Å; angles 90.00, 90.00, 90.00 degrees
Space group Pmc2_1 (No. 26)
Asymmetric unit:
Ba 0.0000 0.0618 0.0000
Ba 0.0000 0.3276 0.3481
Ba 0.5000 0.1735 0.6889
Ac 0.5000 0.4393 0.0324
Tl 0.0000 0.3578 0.8012
Tl 0.5000 0.1552 0.2361

ΔE_f	-1.651	eV per formula unit
DOS at the Fermi energy	6.5	states/eV/f.u.
density	6.7	Mg/m³
electronic total energy	-2.710	eV per atom
energy above the most stable polymorph in this dataset	0	meV/atom

---

Record 4
# KTiB3

A relaxed KTiB3 crystal (PBE, Alexandria).

Cell lengths 4.2682, 4.2682, 4.2682 Å; angles 90.00, 90.00, 90.00 degrees
Space group Pm-3m (No. 221)
Asymmetric unit:
K 0.0000 0.0000 0.0000
Ti 0.5000 0.5000 0.5000
B 0.0000 0.0000 0.5000

ΔE_f	15.504	eV per formula unit
DOS at the Fermi energy	5.6	states/eV/f.u.
density	2.5	Mg/m³
electronic total energy	-2.704	eV per atom
energy above the most stable polymorph in this dataset	1708	meV/atom